DFT (GGA-PBE) results for ErSc3Rh4 after structural relaxation.

Cell: 3.2160 3.2160 13.5286 Å, 90.00 90.00 90.00°
Fractional coordinates of all 8 atoms:
1 Er 0.5000 0.5000 0.0000
2 Sc 0.5000 0.5000 0.2558
3 Sc 0.5000 0.5000 0.7442
4 Sc 0.5000 0.5000 0.5000
5 Rh 0.0000 0.0000 0.1368
6 Rh 0.0000 0.0000 0.6213
7 Rh 0.0000 0.0000 0.8632
8 Rh 0.0000 0.0000 0.3787

Properties
* final energy: -60.8 eV per formula unit
* space group: P4/mmm (123)

DFT (GGA-PBE) results for MgBe2SnC after structural relaxation.

Cell: 4.4112 5.6832 4.4112 Å, 90.00 90.00 90.00°
Fractional coordinates of all 5 atoms:
1 Mg 0.0000 0.5000 0.0000
2 C 0.5000 0.5000 0.5000
3 Sn 0.0000 0.0000 0.0000
4 Be 0.5000 0.0000 0.0000
5 Be 0.0000 0.0000 0.5000

Properties
* energy above the most stable polymorph in this dataset: 1470 meV per atom
* space group: P4/mmm (123)

Looking at ρ for the records above, in order, we have 8.471; 2.599 g/cm3.
Looking at M_tot for the records above, in order, we have 0.00; 2.04 μB/f.u..